(1)
## CsZn2AgHg (PBE)

Data for a geometry-optimized CsZn2AgHg structure.

Cell and atoms, written as extended XYZ:
```
5
Lattice="5.2113 0.0000 0.0000 0.0000 5.2113 0.0000 0.0000 0.0000 5.6329" Properties=species:S:1:pos:R:3 pbc="T T T"
Cs 2.6056 2.6056 2.8165
Zn 0.0000 2.6056 0.0000
Zn 2.6056 0.0000 0.0000
Hg 0.0000 0.0000 2.8165
Ag 0.0000 0.0000 0.0000
```

Output
Final energy = -1.2398 eV per atom
Total magnetic moment = 0.000 μB/atom
Calculated density = 6.21 g/cm3



(2)
## CsHoAg2 (PBE)

Data for a geometry-optimized CsHoAg2 structure.

Cell and atoms, written as extended XYZ:
```
4
Lattice="3.8412 0.0000 0.0000 0.0000 3.8412 0.0000 0.0000 0.0000 8.6651" Properties=species:S:1:pos:R:3 pbc="T T T"
Cs 1.9206 1.9206 4.3326
Ho 1.9206 1.9206 0.0000
Ag 0.0000 0.0000 7.2011
Ag 0.0000 0.0000 1.4640
```

Output
Final energy = -2.8382 eV per atom
Total magnetic moment = 0.000 μB/atom
Calculated density = 6.67 g/cm3



(3)
## Cs2HoAg2I6 (PBE)

Data for a geometry-optimized Cs2HoAg2I6 structure.

Cell and atoms, written as extended XYZ:
```
11
Lattice="-4.5684 7.8578 0.4968 -8.5843 0.4710 -2.9917 -6.8589 0.9073 5.9748" Properties=species:S:1:pos:R:3 pbc="T T T"
Cs -14.8630 7.0372 2.2091
Cs -5.1486 2.1990 1.2707
Ho 0.0000 0.0000 0.0000
Ag -10.4608 4.2744 2.9915
Ag -9.5508 4.9617 0.4884
I -11.7534 6.5954 -0.4352
I -9.2790 2.3393 -0.7043
I -7.1038 6.3403 1.1852
I -12.9077 2.8959 2.2946
I -10.7326 6.8968 4.1841
I -8.2582 2.6407 3.9150
```

Output
Final energy = -2.8903 eV per atom
Formation energy from raw total energies = -92.14 kJ/mol of atoms
Total magnetic moment = 0.000 μB/atom
Calculated density = 4.36 g/cm3



(4)
## CsHoAgI6 (PBE)

Data for a geometry-optimized CsHoAgI6 structure.

Cell and atoms, written as extended XYZ:
```
9
Lattice="7.6563 -0.6806 -0.2161 3.2499 6.8019 0.5201 -0.2130 0.7929 8.2534" Properties=species:S:1:pos:R:3 pbc="T T T"
Cs 0.5572 0.4954 0.1260
Ho 7.2530 4.4709 4.4941
Ag 3.6731 2.0099 3.8366
I 8.7872 2.4526 2.7990
I 5.6215 6.7324 5.7644
I 5.4239 2.6633 6.0791
I 9.2770 4.3857 6.5896
I 5.0946 3.9200 2.3170
I 4.7400 -0.1533 2.0072
```

Output
Final energy = -2.9304 eV per atom
Formation energy from raw total energies = -94.24 kJ/mol of atoms
Total magnetic moment = 0.000 μB/atom
Calculated density = 4.36 g/cm3



(5)
## CsHo2AgI8 (PBE)

Data for a geometry-optimized CsHo2AgI8 structure.

Cell and atoms, written as extended XYZ:
```
12
Lattice="-3.9845 -6.3064 2.4128 3.2979 -7.1026 -0.3801 3.8091 -3.1379 10.8270" Properties=species:S:1:pos:R:3 pbc="T T T"
Cs 1.5612 -8.2735 6.4299
Ho 0.6811 -4.1696 2.9647
Ho 2.4414 -12.3773 9.8950
Ag 0.0000 0.0000 0.0000
I 1.7265 -3.8247 5.5925
I -0.9951 -6.5037 3.2130
I 1.3959 -12.7222 7.2672
I -0.9429 -10.8480 3.7623
I 4.0653 -5.6989 9.0974
I 2.5586 -8.8087 2.1016
I 0.5638 -7.7382 10.7581
I 4.1176 -10.0432 9.6467
```

Output
Final energy = -3.2152 eV per atom
Formation energy from raw total energies = -107.11 kJ/mol of atoms
Total magnetic moment = 0.000 μB/atom
Calculated density = 4.50 g/cm3



(6)
## Cs2HoAgI6 (PBE)

Data for a geometry-optimized Cs2HoAgI6 structure.

Cell and atoms, written as extended XYZ:
```
20
Lattice="8.5685 0.0000 0.0000 4.2842 7.4205 0.0000 4.2842 2.4735 14.2531" Properties=species:S:1:pos:R:3 pbc="T T T"
Cs 12.8527 7.4205 5.1325
Cs 4.2842 2.4735 9.1207
Cs 12.8527 7.4205 12.5841
Cs 4.2842 2.4735 1.6690
Ho 8.5685 4.9470 3.5707
Ho 8.5685 4.9470 10.6824
Ag 0.0000 0.0000 0.0000
Ag 8.5685 4.9470 7.1266
I 10.7115 3.7097 5.2850
I 8.5685 7.4216 5.2850
I 6.4254 3.7097 5.2850
I 6.4254 6.1843 8.9682
I 8.5685 2.4724 8.9682
I 10.7115 6.1843 8.9682
I 10.6957 3.7188 12.4739
I 8.5685 7.4034 12.4739
I 6.4412 3.7188 12.4739
I 6.4412 6.1752 1.7793
I 8.5685 2.4907 1.7793
I 10.6958 6.1752 1.7793
```

Output
Final energy = -3.0801 eV per atom
Formation energy from raw total energies = -119.29 kJ/mol of atoms
Total magnetic moment = 0.000 μB/atom
Calculated density = 4.76 g/cm3



(7)
## CsHoAgI5 (PBE)

Data for a geometry-optimized CsHoAgI5 structure.

Cell and atoms, written as extended XYZ:
```
16
Lattice="8.6059 0.0176 0.0054 -2.4953 8.2362 0.0054 -2.5260 -3.4120 10.7380" Properties=species:S:1:pos:R:3 pbc="T T T"
Cs 0.7624 4.5039 2.6899
Cs 2.8222 0.3379 8.0589
Ho -1.2630 -1.7060 5.3690
Ho 0.0000 0.0000 0.0000
Ag 4.5350 1.7109 2.6899
Ag -0.9504 3.1309 8.0589
I -2.3655 6.8195 2.6899
I 5.9500 -1.9777 8.0589
I 6.7850 2.2155 1.0165
I -3.2004 2.6264 9.7323
I 4.7092 -0.5884 4.3633
I -1.1247 5.4302 6.3855
I 3.9546 3.7250 4.7138
I -0.3701 1.1168 6.0350
I 2.4392 1.6781 0.6660
I 1.1453 3.1638 10.0828
```

Output
Final energy = -3.1408 eV per atom
Formation energy from raw total energies = -109.67 kJ/mol of atoms
Total magnetic moment = 0.000 μB/atom
Calculated density = 4.53 g/cm3



(8)
## Cs3HoAg2I8 (PBE)

Data for a geometry-optimized Cs3HoAg2I8 structure.

Cell and atoms, written as extended XYZ:
```
14
Lattice="-8.0618 -0.7528 -2.7619 4.1570 -6.8557 2.9841 -3.6915 2.1919 10.1779" Properties=species:S:1:pos:R:3 pbc="T T T"
Cs -2.2182 -3.4544 7.4165
Cs -5.3781 -1.9623 2.9837
Cs 0.0000 0.0000 0.0000
Ho -1.8457 1.0959 5.0889
Ag -0.6531 -4.3837 3.1011
Ag -6.9432 -1.0329 7.2990
I -3.4474 -2.7246 10.8054
I -4.1489 -2.6921 -0.4053
I 0.9326 -5.1285 5.4634
I -8.5289 -0.2882 4.9367
I -1.1970 -1.6163 3.9346
I -6.3992 -3.8004 6.4655
I -3.1975 -5.5142 4.0485
I -4.3988 0.0975 6.3517
```

Output
Final energy = -2.8999 eV per atom
Formation energy from raw total energies = -105.83 kJ/mol of atoms
Total magnetic moment = 0.000 μB/atom
Calculated density = 4.26 g/cm3



(9)
## CsHoAgS2 (PBE)

Data for a geometry-optimized CsHoAgS2 structure.

Cell and atoms, written as extended XYZ:
```
10
Lattice="-1.8054 -0.7242 4.7293 1.0286 -7.8847 -0.8147 6.9516 1.7365 2.9198" Properties=species:S:1:pos:R:3 pbc="T T T"
Cs 5.4878 -2.7363 2.4117
Cs 0.6870 -4.1361 4.4226
Ho 0.8441 0.0756 3.0713
Ho 4.3021 0.9367 4.5777
Ag 0.0000 0.0000 0.0000
Ag 3.4758 0.8683 1.4599
S 6.4146 -4.9147 5.1209
S 2.8050 -1.2623 4.3022
S 3.3698 -5.6101 2.5321
S -0.2398 -1.9576 1.7134
```

Output
Final energy = -4.4259 eV per atom
Formation energy from raw total energies = -107.91 kJ/mol of atoms
Total magnetic moment = 0.000 μB/atom
Calculated density = 4.99 g/cm3



(10)
## CsHoAgSe2 (PBE)

Data for a geometry-optimized CsHoAgSe2 structure.

Cell and atoms, written as extended XYZ:
```
10
Lattice="4.8129 0.0000 0.0000 0.0000 8.1135 1.1809 0.0000 -1.3156 8.1416" Properties=species:S:1:pos:R:3 pbc="T T T"
Cs 0.0758 3.0701 6.6967
Cs 4.7371 3.7279 2.6258
Ho 2.4036 -0.3289 2.0354
Ho 2.4093 -0.9867 6.1062
Ag 0.0000 0.0000 0.0000
Ag 0.0000 -0.6578 4.0708
Se 2.7329 4.9374 9.0228
Se 2.7329 1.2027 4.3706
Se 2.0800 5.5952 4.9519
Se 2.0800 1.8605 0.2998
```

Output
Final energy = -4.1099 eV per atom
Formation energy from raw total energies = -102.23 kJ/mol of atoms
Total magnetic moment = 0.000 μB/atom
Calculated density = 5.75 g/cm3



(11)
## CsHoAgTe3 (PBE)

Data for a geometry-optimized CsHoAgTe3 structure.

Cell and atoms, written as extended XYZ:
```
12
Lattice="4.3304 0.0000 0.0000 -2.1652 8.9845 0.0000 0.0000 0.0000 11.3723" Properties=species:S:1:pos:R:3 pbc="T T T"
Cs 0.0000 4.4418 2.8431
Cs 2.1652 4.5427 8.5292
Ho 0.0000 0.0000 5.6861
Ho 0.0000 0.0000 0.0000
Ag 0.0000 8.4119 8.5292
Ag 2.1652 0.5726 2.8431
Te 2.1652 2.1305 0.5364
Te 0.0000 6.8541 10.8359
Te 0.0000 6.8541 6.2225
Te 2.1652 2.1305 5.1497
Te 0.0000 1.2545 8.5292
Te 2.1652 7.7301 2.8431
```

Output
Final energy = -3.8751 eV per atom
Formation energy from raw total energies = -89.13 kJ/mol of atoms
Total magnetic moment = 0.000 μB/atom
Calculated density = 5.92 g/cm3



(12)
## CsHo2AgTe4 (PBE)

Data for a geometry-optimized CsHo2AgTe4 structure.

Cell and atoms, written as extended XYZ:
```
16
Lattice="4.5054 0.0000 0.0000 -2.2527 7.7902 0.0000 0.0000 0.0000 15.8929" Properties=species:S:1:pos:R:3 pbc="T T T"
Cs 0.0000 1.8879 11.9196
Cs 2.2527 5.9023 3.9732
Ho 0.0000 5.7729 9.0180
Ho 2.2527 2.0174 1.0716
Ho 2.2527 2.0174 6.8748
Ho 0.0000 5.7729 14.8213
Ag 2.2527 5.2077 11.9196
Ag 0.0000 2.5826 3.9732
Te 0.0000 4.0339 1.5745
Te 2.2527 3.7563 9.5210
Te 2.2527 3.7563 14.3183
Te 0.0000 4.0339 6.3719
Te 0.0000 0.0000 7.9464
Te 0.0000 0.0000 0.0000
Te 0.0000 6.8268 11.9196
Te 2.2527 0.9635 3.9732
```

Output
Final energy = -4.2969 eV per atom
Formation energy from raw total energies = -107.92 kJ/mol of atoms
Total magnetic moment = 0.000 μB/atom
Calculated density = 6.44 g/cm3



(13)
## CsHo2Ag3Te5 (PBE)

Data for a geometry-optimized CsHo2Ag3Te5 structure.

Cell and atoms, written as extended XYZ:
```
22
Lattice="8.5614 -0.0613 0.0000 -7.3099 4.4572 0.0000 0.0000 0.0000 18.5942" Properties=species:S:1:pos:R:3 pbc="T T T"
Cs 1.5345 1.9392 4.6485
Cs -0.2830 2.4566 13.9456
Ho 3.6709 1.3310 16.8447
Ho -2.4194 3.0649 1.7495
Ho 3.6709 1.3310 11.0466
Ho -2.4194 3.0649 7.5476
Ag 6.0344 0.6581 4.6485
Ag -4.7829 3.7378 13.9456
Ag -5.9864 4.0804 8.6315
Ag 7.2379 0.3155 9.9626
Ag -5.9864 4.0804 0.6655
Ag 7.2379 0.3155 17.9286
Te -6.2642 4.1595 16.4075
Te 7.5157 0.2364 2.1867
Te -6.2642 4.1595 11.4838
Te 7.5157 0.2364 7.1104
Te 3.4634 1.3901 7.9703
Te -2.2119 3.0058 10.6238
Te 3.4634 1.3901 1.3267
Te -2.2119 3.0058 17.2674
Te -3.4198 3.3497 4.6485
Te 4.6712 1.0462 13.9456
```

Output
Final energy = -3.9900 eV per atom
Formation energy from raw total energies = -84.37 kJ/mol of atoms
Total magnetic moment = 0.000 μB/atom
Calculated density = 6.75 g/cm3



(14)
## Cs2HoAg2Te4 (PBE)

Data for a geometry-optimized Cs2HoAg2Te4 structure.

Cell and atoms, written as extended XYZ:
```
9
Lattice="4.4548 0.0000 0.0000 0.0000 9.1490 0.6044 -2.2274 -3.0591 7.7377" Properties=species:S:1:pos:R:3 pbc="T T T"
Cs 0.0000 4.3583 2.3839
Cs 2.2274 1.7316 5.9582
Ho 0.0000 0.0000 0.0000
Ag 2.2274 7.8565 3.4012
Ag 0.0000 -1.7666 4.9409
Te 0.0000 0.4627 3.0898
Te 2.2274 5.6272 5.2523
Te 2.2274 7.0023 0.6879
Te 0.0000 -0.9124 7.6542
```

Output
Final energy = -3.5852 eV per atom
Formation energy from raw total energies = -82.69 kJ/mol of atoms
Total magnetic moment = 0.000 μB/atom
Calculated density = 5.94 g/cm3



(15)
## CsHo3Ag2Te6 (PBE)

Data for a geometry-optimized CsHo3Ag2Te6 structure.

Cell and atoms, written as extended XYZ:
```
12
Lattice="-3.9699 -1.4743 1.4542 4.1270 -3.2911 7.9300 -1.2917 10.8817 0.6130" Properties=species:S:1:pos:R:3 pbc="T T T"
Cs -1.9849 -0.7372 0.7271
Ho 0.0785 -2.3827 4.6921
Ho -3.4546 5.3683 2.9051
Ho 2.3200 0.7480 7.0921
Ag -1.9565 2.9005 4.4929
Ag 0.8219 3.2158 5.5042
Te 1.7522 3.4582 8.2897
Te -0.6312 0.6068 5.7854
Te -2.8867 2.6581 1.7075
Te -3.9800 8.0556 4.1952
Te 2.8455 -1.9393 5.8019
Te -0.5033 5.5095 4.2118
```

Output
Final energy = -4.3013 eV per atom
Formation energy from raw total energies = -100.32 kJ/mol of atoms
Total magnetic moment = 0.000 μB/atom
Calculated density = 6.23 g/cm3



(16)
## CsAg3I3 (PBE)

Data for a geometry-optimized CsAg3I3 structure.

Cell and atoms, written as extended XYZ:
```
14
Lattice="-6.1205 0.7445 -5.6746 1.6049 -7.7516 -2.7480 -5.4936 -3.0940 5.5193" Properties=species:S:1:pos:R:3 pbc="T T T"
Cs -5.0046 -5.0506 -1.4516
Cs 0.0000 0.0000 0.0000
I -2.3456 -3.4849 2.0727
I -1.5431 -7.3607 0.6987
I -7.1804 -1.9483 1.3022
I -3.7879 -3.3175 -5.6299
I -4.4336 -0.4013 -1.4575
I -0.7277 -3.6897 -2.7926
Ag -4.2769 -1.3609 1.3410
Ag -0.5709 -4.6493 0.0058
Ag -1.8565 -5.4415 -4.8983
Ag -7.3371 -0.9887 -1.4963
Ag -3.3177 -6.1963 2.7655
Ag -2.6590 -1.5657 -3.5243
```

Output
Final energy = -2.2912 eV per atom
Formation energy from raw total energies = -27.30 kJ/mol of atoms
Total magnetic moment = 0.000 μB/atom
Calculated density = 4.73 g/cm3



(17)
## CsAg2I4 (PBE)

Data for a geometry-optimized CsAg2I4 structure.

Cell and atoms, written as extended XYZ:
```
14
Lattice="-6.5574 -0.6264 4.0618 6.4665 -4.2506 -0.0800 5.4889 8.1598 10.1196" Properties=species:S:1:pos:R:3 pbc="T T T"
Cs 1.3268 -0.3985 4.5208
Cs 4.0712 3.6814 9.5806
Ag 3.2168 -3.3408 0.9491
Ag -3.3076 -1.5361 3.0327
Ag 5.9610 0.7282 6.0177
Ag -0.5630 2.5546 8.0836
I 1.0060 -3.9591 2.6467
I -1.0968 -0.9179 1.3351
I 3.7959 2.5642 5.7116
I 1.6021 0.7187 8.3897
I -1.4584 2.3929 5.3869
I 4.1574 -0.7515 1.6638
I 0.3899 5.1405 8.7944
I 7.7980 4.6607 8.3758
```

Output
Final energy = -2.3675 eV per atom
Formation energy from raw total energies = -52.59 kJ/mol of atoms
Total magnetic moment = 0.000 μB/atom
Calculated density = 4.53 g/cm3



(18)
## Cs2Ag3I5 (PBE)

Data for a geometry-optimized Cs2Ag3I5 structure.

Cell and atoms, written as extended XYZ:
```
20
Lattice="10.1851 -1.2282 1.7073 2.1957 8.9233 1.5140 -0.3556 -1.5925 9.1693" Properties=species:S:1:pos:R:3 pbc="T T T"
Cs 3.4620 5.1386 1.6142
Cs 7.0875 -1.5220 6.8696
Cs 8.5632 0.9640 10.7763
Cs 4.9377 7.6246 5.5209
Ag 5.6462 3.4333 7.5911
Ag 10.9596 3.7294 7.7822
Ag 6.3790 2.6693 4.7994
Ag 1.0656 2.3732 4.6084
Ag 2.5678 -0.3453 8.4646
Ag 9.4574 6.4479 3.9259
I 5.0451 0.9616 8.8830
I 11.4451 5.7365 5.8136
I 6.9801 5.1409 3.5075
I 0.5802 0.3661 6.5769
I 5.7369 5.9102 8.9849
I 6.2883 0.1924 3.4056
I 8.4769 2.4061 6.8682
I 3.5484 3.6964 5.5223
I 1.4282 1.7647 1.8544
I 10.5970 4.3379 10.5361
```

Output
Final energy = -2.5420 eV per atom
Formation energy from raw total energies = -71.48 kJ/mol of atoms
Total magnetic moment = 0.000 μB/atom
Calculated density = 4.60 g/cm3



(19)
## CsAg2I3 (PBE)

Data for a geometry-optimized CsAg2I3 structure.

Cell and atoms, written as extended XYZ:
```
12
Lattice="6.0707 0.0000 0.0000 0.0000 9.3721 0.0271 0.0000 -2.3518 9.0723" Properties=species:S:1:pos:R:3 pbc="T T T"
Cs 1.5177 1.0435 6.4528
Cs 4.5531 5.9768 2.6466
Ag 0.0000 1.2388 1.6057
Ag 3.0354 1.2388 1.6057
Ag 0.0000 5.7816 7.4938
Ag 3.0354 5.7816 7.4938
I 4.5531 -1.0840 8.0942
I 4.5531 0.5150 3.8832
I 1.5177 3.6254 1.4835
I 4.5531 3.3949 7.6159
I 1.5177 6.5053 5.2162
I 1.5177 8.1044 1.0052
```

Output
Final energy = -2.5640 eV per atom
Formation energy from raw total energies = -67.17 kJ/mol of atoms
Total magnetic moment = 0.000 μB/atom
Calculated density = 4.69 g/cm3



(20)
## Cs2Ag2I (PBE)

Data for a geometry-optimized Cs2Ag2I structure.

Cell and atoms, written as extended XYZ:
```
10
Lattice="-0.3533 -0.4035 9.5228 2.2116 -9.2727 -0.3109 4.7357 1.1220 0.2232" Properties=species:S:1:pos:R:3 pbc="T T T"
Cs 3.8354 -5.9590 1.7494
Cs 3.9035 -7.1870 6.4764
Cs 2.7586 -2.5953 7.6857
Cs 2.6905 -1.3673 2.9588
I 0.0000 0.0000 0.0000
I 0.9291 -4.8381 4.6060
Ag 1.8486 -8.5044 3.5270
Ag 1.0096 -5.9290 8.3815
Ag 0.0097 -1.1718 5.6849
Ag 0.8487 -3.7472 0.8304
```

Output
Final energy = -2.0788 eV per atom
Formation energy from raw total energies = -27.67 kJ/mol of atoms
Total magnetic moment = 0.000 μB/atom
Calculated density = 4.56 g/cm3
ΔE to the lowest computed polymorph = 0 meV/atom